TaVIO2: relaxed, PBE with a Hubbard U.

POSCAR file:
```
TaVIO2
1.0
-1.7439 3.2347 -1.5649
-2.1475 -2.3328 -2.4289
-4.3279 -0.3291 4.1427
I V O Ta
1 1 2 1
direct
0.0000 0.0000 0.5000
0.5000 0.5000 0.5000
0.0000 0.5000 0.0000
0.5000 0.0000 0.0000
0.0000 0.0000 0.0000
```

Values from the calculation:
* spin magnetization: 0.8 μB per formula unit
* uncorrected energy: -6.665 eV/atom
* symmetry: P4/mmm